# PuNbAu, relaxed, DFT PBE
# density	14.568	Mg/m³
# total energy	-55.486	eV for the cell shown
# formation energy from the elements	-0.02	eV/atom
# total magnetic moment	5.01	μB/f.u.
data_PuNbAu
_chemical_formula_sum 'Pu2 Nb2 Au2'
_space_group_name_H-M_alt 'I 4 m m'
_space_group_IT_number 107
_space_group_name_Hall 'I 4 -2'
_cell_length_a 2.959
_cell_length_b 2.959
_cell_length_c 13.896
_cell_angle_alpha 90.00
_cell_angle_beta 90.00
_cell_angle_gamma 90.00
loop_
_atom_site_label
_atom_site_fract_x
_atom_site_fract_y
_atom_site_fract_z
Pu1 0.000 0.000 0.000
Nb1 0.000 0.000 0.674
Au1 0.000 0.000 0.322

---

# SiBS3, relaxed, DFT PBE
# formation energy (no corrections)	1075	meV/atom
# density	2.472	Mg/m³
# total energy	-19.107	eV for the cell shown
# total magnetic moment	0.00	μB/f.u.
data_SiBS3
_chemical_formula_sum 'Si1 B1 S3'
_space_group_name_H-M_alt 'P m -3 m'
_space_group_IT_number 221
_space_group_name_Hall '-P 4 2 3'
_cell_length_a 4.494
_cell_length_b 4.494
_cell_length_c 4.494
_cell_angle_alpha 90.00
_cell_angle_beta 90.00
_cell_angle_gamma 90.00
loop_
_atom_site_label
_atom_site_fract_x
_atom_site_fract_y
_atom_site_fract_z
Si1 0.000 0.000 0.000
B1 0.500 0.500 0.500
S1 0.000 0.000 0.500

---

# Hf2NbInC, relaxed, DFT PBE
# density	10.717	Mg/m³
# total energy	-43.791	eV for the cell shown
# formation energy from the elements	-0.37	eV/atom
# total magnetic moment	0.00	μB/f.u.
data_Hf2NbInC
_chemical_formula_sum 'Hf2 Nb1 In1 C1'
_space_group_name_H-M_alt 'P 4/m m m'
_space_group_IT_number 123
_space_group_name_Hall '-P 4 2'
_cell_length_a 4.563
_cell_length_b 4.563
_cell_length_c 4.291
_cell_angle_alpha 90.00
_cell_angle_beta 90.00
_cell_angle_gamma 90.00
loop_
_atom_site_label
_atom_site_fract_x
_atom_site_fract_y
_atom_site_fract_z
Hf1 0.000 0.500 0.000
Nb1 0.000 0.000 0.500
In1 0.500 0.500 0.500
C1 0.000 0.000 0.000

---

Question: What is the total energy in the second record?
Answer: -19.107 eV for the cell shown

---

Question: What is the total energy in the first record?
Answer: -55.486 eV for the cell shown